DFT (GGA-PBEsol) results for an optimized crystal structure of LaErAl4.

Computed properties:
**Space group**: F-43m
**ρ**: 5548 kg/m³
**Density of states at the Fermi level**: 4.8 states/eV per cell
**Calculated total energy**: -4.92 eV per atom
**Formation energy**: -0.48 eV per atom
**Size of the total moment**: 0.00 μB per formula unit

a b c (Å): 5.5963 5.5963 5.5963
angles (deg): 60.00 60.00 60.00
Fractional coordinates of all 6 atoms:
La1 0.0000 0.0000 0.0000
Al1 0.8748 0.3751 0.3751
Al2 0.3751 0.3751 0.3751
Al3 0.3751 0.8748 0.3751
Al4 0.3751 0.3751 0.8748
Er1 0.7500 0.7500 0.7500